# PBE LiW4, relaxed
# Energy of formation from the pure elements (meV per atom): 1449
# N(E_F) (states/eV/atom): 1.22
data_LiW4
_cell_length_a 4.239
_cell_length_b 4.239
_cell_length_c 4.239
_cell_angle_alpha 90.00
_cell_angle_beta 90.00
_cell_angle_gamma 90.00
_symmetry_space_group_name_H-M 'P 1'
_symmetry_Int_Tables_number 1
loop_
_symmetry_equiv_pos_as_xyz
'x,y,z'
loop_
_atom_site_label
_atom_site_type_symbol
_atom_site_fract_x
_atom_site_fract_y
_atom_site_fract_z
_atom_site_occupancy
W1 W 0.000 0.000 0.000 1
W2 W 0.000 0.500 0.500 1
W3 W 0.500 0.500 0.000 1
Li1 Li 0.500 0.500 0.500 1
W4 W 0.500 0.000 0.500 1

=====

# PBE LiW, relaxed
# Energy of formation from the pure elements (meV per atom): 521
# N(E_F) (states/eV/atom): 0.84
data_LiW
_cell_length_a 5.252
_cell_length_b 5.252
_cell_length_c 5.252
_cell_angle_alpha 29.85
_cell_angle_beta 29.85
_cell_angle_gamma 29.85
_symmetry_space_group_name_H-M 'P 1'
_symmetry_Int_Tables_number 1
loop_
_symmetry_equiv_pos_as_xyz
'x,y,z'
loop_
_atom_site_label
_atom_site_type_symbol
_atom_site_fract_x
_atom_site_fract_y
_atom_site_fract_z
_atom_site_occupancy
Li1 Li 0.000 0.000 0.000 1
W1 W 0.500 0.500 0.500 1

=====

# PBE LiW, relaxed
# Energy of formation from the pure elements (meV per atom): 387
# N(E_F) (states/eV/atom): 1.06
data_LiW
_cell_length_a 10.108
_cell_length_b 10.108
_cell_length_c 10.108
_cell_angle_alpha 15.73
_cell_angle_beta 15.73
_cell_angle_gamma 15.73
_symmetry_space_group_name_H-M 'P 1'
_symmetry_Int_Tables_number 1
loop_
_symmetry_equiv_pos_as_xyz
'x,y,z'
loop_
_atom_site_label
_atom_site_type_symbol
_atom_site_fract_x
_atom_site_fract_y
_atom_site_fract_z
_atom_site_occupancy
Li1 Li 0.997 0.997 0.997 1
W1 W 0.249 0.249 0.249 1
W2 W 0.501 0.501 0.501 1
Li2 Li 0.753 0.753 0.753 1

=====

# PBE LiW, relaxed
# Energy of formation from the pure elements (meV per atom): 444
# N(E_F) (states/eV/atom): 0.80
data_LiW
_cell_length_a 2.642
_cell_length_b 2.642
_cell_length_c 9.255
_cell_angle_alpha 90.00
_cell_angle_beta 90.00
_cell_angle_gamma 90.00
_symmetry_space_group_name_H-M 'P 1'
_symmetry_Int_Tables_number 1
loop_
_symmetry_equiv_pos_as_xyz
'x,y,z'
loop_
_atom_site_label
_atom_site_type_symbol
_atom_site_fract_x
_atom_site_fract_y
_atom_site_fract_z
_atom_site_occupancy
Li1 Li 0.500 0.500 0.744 1
W1 W 0.500 0.500 0.250 1
W2 W 0.000 0.000 0.500 1
Li2 Li 0.000 0.000 0.006 1

=====

# PBE LiW4, relaxed
# Energy of formation from the pure elements (meV per atom): 974
# N(E_F) (states/eV/atom): 0.74
data_LiW4
_cell_length_a 6.419
_cell_length_b 6.419
_cell_length_c 6.419
_cell_angle_alpha 141.92
_cell_angle_beta 141.92
_cell_angle_gamma 54.95
_symmetry_space_group_name_H-M 'P 1'
_symmetry_Int_Tables_number 1
loop_
_symmetry_equiv_pos_as_xyz
'x,y,z'
loop_
_atom_site_label
_atom_site_type_symbol
_atom_site_fract_x
_atom_site_fract_y
_atom_site_fract_z
_atom_site_occupancy
W1 W 0.250 0.750 0.500 1
Li1 Li 0.000 0.000 0.000 1
W2 W 0.382 0.382 0.000 1
W3 W 0.750 0.250 0.500 1
W4 W 0.618 0.618 0.000 1

=====

# PBE LiW3, relaxed
# Energy of formation from the pure elements (meV per atom): 509
# N(E_F) (states/eV/atom): 0.60
data_LiW3
_cell_length_a 2.756
_cell_length_b 2.756
_cell_length_c 9.982
_cell_angle_alpha 90.00
_cell_angle_beta 90.00
_cell_angle_gamma 120.00
_symmetry_space_group_name_H-M 'P 1'
_symmetry_Int_Tables_number 1
loop_
_symmetry_equiv_pos_as_xyz
'x,y,z'
loop_
_atom_site_label
_atom_site_type_symbol
_atom_site_fract_x
_atom_site_fract_y
_atom_site_fract_z
_atom_site_occupancy
W1 W 0.667 0.333 0.748 1
W2 W 0.000 0.000 0.500 1
Li1 Li 0.000 0.000 0.000 1
W3 W 0.667 0.333 0.252 1

=====

# PBE LiW, relaxed
# Energy of formation from the pure elements (meV per atom): 702
# N(E_F) (states/eV/atom): 0.35
data_LiW
_cell_length_a 7.563
_cell_length_b 7.563
_cell_length_c 4.876
_cell_angle_alpha 90.00
_cell_angle_beta 90.00
_cell_angle_gamma 90.00
_symmetry_space_group_name_H-M 'P 1'
_symmetry_Int_Tables_number 1
loop_
_symmetry_equiv_pos_as_xyz
'x,y,z'
loop_
_atom_site_label
_atom_site_type_symbol
_atom_site_fract_x
_atom_site_fract_y
_atom_site_fract_z
_atom_site_occupancy
Li1 Li 0.747 0.067 0.500 1
Li2 Li 0.253 0.067 0.000 1
Li3 Li 0.747 0.933 0.000 1
Li4 Li 0.253 0.933 0.500 1
W1 W 0.445 0.264 0.500 1
W2 W 0.445 0.736 0.000 1
Li5 Li 0.067 0.747 0.000 1
Li6 Li 0.933 0.253 0.000 1
W3 W 0.555 0.736 0.500 1
W4 W 0.264 0.445 0.000 1
W5 W 0.555 0.264 0.000 1
W6 W 0.264 0.555 0.500 1
Li7 Li 0.067 0.253 0.500 1
W7 W 0.736 0.555 0.000 1
Li8 Li 0.933 0.747 0.500 1
W8 W 0.736 0.445 0.500 1

=====

# PBE Li5W, relaxed
# Energy of formation from the pure elements (meV per atom): 404
# N(E_F) (states/eV/atom): 0.64
data_Li5W
_cell_length_a 7.910
_cell_length_b 7.910
_cell_length_c 2.585
_cell_angle_alpha 90.00
_cell_angle_beta 90.00
_cell_angle_gamma 143.33
_symmetry_space_group_name_H-M 'P 1'
_symmetry_Int_Tables_number 1
loop_
_symmetry_equiv_pos_as_xyz
'x,y,z'
loop_
_atom_site_label
_atom_site_type_symbol
_atom_site_fract_x
_atom_site_fract_y
_atom_site_fract_z
_atom_site_occupancy
Li1 Li 0.669 0.331 0.500 1
Li2 Li 0.331 0.669 0.500 1
W1 W 0.500 0.500 0.000 1
Li3 Li 0.000 0.000 0.500 1
Li4 Li 0.149 0.851 0.000 1
Li5 Li 0.851 0.149 0.000 1

=====

Computed E_tot (eV per formula unit) in order:
-46.482 -13.826 -14.094 -13.978 -48.857 -38.737 -13.462 -20.099